Compound: CaSe2NF
Source: Alexandria
Functional: PBE
Structure: relaxed

Cell lengths 4.4655, 4.4655, 4.8636 Å; angles 90.00, 90.00, 90.00 degrees
Site moments in Bohr magnetons follow the coordinates.
Element x y z (fractional)
N: 0.0000 0.0000 0.5000  1.47
Se: 0.0000 0.5000 0.0000  0.05
Se: 0.5000 0.0000 0.0000  0.05
F: 0.0000 0.0000 0.0000  0.02
Ca: 0.5000 0.5000 0.5000  0.00

Output
Fermi-level density of states, states/eV per atom: 0.47
Energy above the lowest structure with this stoichiometry, meV/atom: 0
Formation energy from raw total energies, eV/atom: 0.23


Compound: CaSe2NF
Source: Alexandria
Functional: PBE
Structure: relaxed

Cell lengths 5.8202, 5.8202, 4.6654 Å; angles 90.00, 90.00, 90.00 degrees
Site moments in Bohr magnetons follow the coordinates.
Element x y z (fractional)
Ca: 0.0000 0.0000 0.0000  0.01
N: 0.0000 0.0000 0.5000  1.46
Se: 0.0000 0.5000 0.0000  0.97
Se: 0.5000 0.0000 0.0000  0.97
F: 0.5000 0.5000 0.5000  0.44

Output
Fermi-level density of states, states/eV per atom: 0.45
Energy above the lowest structure with this stoichiometry, meV/atom: 444
Formation energy from raw total energies, eV/atom: 0.68